The following is a DFT calculation (PBE+U) of PrTm2WO8 after structural relaxation.

The calculation puts the energy at -7.895 eV per atom.

Cell: 5.002 6.968 5.003 Å, 90.00 90.45 90.00°
Fractional positions:
Pr  0.000  0.000  0.000
Tm  0.500  0.261  0.500
Tm  0.500  0.739  0.500
W  0.000  0.500  0.000
O  0.187  0.295  0.812
O  0.187  0.705  0.812
O  0.280  0.500  0.279
O  0.324  0.000  0.323
O  0.676  0.000  0.677
O  0.720  0.500  0.721
O  0.813  0.295  0.188
O  0.813  0.705  0.188